1.
Computed, not measured: a relaxed Rb2SrGeCl6 crystal at the PBE-GGA level of DFT.

It has space group P2_1/c (No. 14), with a = 7.572 Å, b = 7.816 Å, c = 13.184 Å, α = 90.00°, β = 124.61° and γ = 90.00°. The inequivalent atoms are Rb at (0.232, 0.058, 0.249), Sr at (0.500, 0.000, 0.000), Ge at (0.000, 0.000, 0.500), Cl at (0.150, 0.215, 0.955), Cl at (0.243, 0.698, 0.957) and Cl at (0.325, 0.022, 0.740).

The calculation puts the offset from the most stable computed form at 0.0 meV/atom.

2.
Computed, not measured: a relaxed Rb2SrGeCl6 crystal at the PBE-GGA level of DFT.

It has space group Fm-3m (No. 225), with a = 11.020 Å, b = 11.020 Å, c = 11.020 Å, α = 90.00°, β = 90.00° and γ = 90.00°. The inequivalent atoms are Rb at (0.250, 0.250, 0.250), Sr at (0.000, 0.000, 0.000), Ge at (0.000, 0.000, 0.500) and Cl at (0.000, 0.000, 0.258).

The calculation puts the offset from the most stable computed form at 26.1 meV/atom.

3.
Computed, not measured: a relaxed RbSrGe2Cl crystal at the PBE-GGA level of DFT.

It has space group P4/mmm (No. 123), with a = 5.538 Å, b = 5.538 Å, c = 7.530 Å, α = 90.00°, β = 90.00° and γ = 90.00°. The inequivalent atoms are Rb at (0.000, 0.000, 0.000), Sr at (0.000, 0.000, 0.500), Ge at (0.000, 0.500, 0.000) and Cl at (0.500, 0.500, 0.500).

4.
Computed, not measured: a relaxed RbTaGe2Cl crystal at the PBE-GGA level of DFT.

It has space group P4/mmm (No. 123), with a = 5.518 Å, b = 5.518 Å, c = 4.522 Å, α = 90.00°, β = 90.00° and γ = 90.00°. The inequivalent atoms are Rb at (0.000, 0.000, 0.000), Ta at (0.500, 0.500, 0.000), Ge at (0.000, 0.500, 0.500) and Cl at (0.500, 0.500, 0.500).

5.
Computed, not measured: a relaxed Rb4TlGe3Cl12 crystal at the PBE-GGA level of DFT.

It has space group Im-3m (No. 229), with a = 10.722 Å, b = 10.722 Å, c = 10.722 Å, α = 90.00°, β = 90.00° and γ = 90.00°. The inequivalent atoms are Rb at (0.250, 0.250, 0.250), Tl at (0.000, 0.000, 0.000), Ge at (0.000, 0.000, 0.500), Cl at (0.000, 0.000, 0.263) and Cl at (0.000, 0.250, 0.500).

6.
Computed, not measured: a relaxed Rb4Tl3GeCl8 crystal at the PBE-GGA level of DFT.

It has space group C2/m (No. 12), with a = 16.304 Å, b = 9.089 Å, c = 9.099 Å, α = 90.00°, β = 121.91° and γ = 90.00°. The inequivalent atoms are Rb at (0.000, 0.000, 0.000), Rb at (0.000, 0.500, 0.000), Rb at (0.250, 0.250, 0.500), Tl at (0.000, 0.000, 0.500), Tl at (0.250, 0.250, 0.000), Ge at (0.000, 0.500, 0.500), Cl at (0.002, 0.277, 0.722), Cl at (0.222, 0.000, 0.218) and Cl at (0.249, 0.000, 0.752).

Values for energy relative to the elements, uncorrected, eV per atom, ordered as above
-1.774 -1.748 0.859 0.946 -1.279 -1.312
Values for total magnetization, μB/atom, ordered as above
0.000 0.000 0.000 0.000 0.000 0.063